(1)
# PBE Nd4GeI2N, optimized geometry
data_Nd4GeI2N
_space_group_name_H-M_alt 'P 1'
_space_group_IT_number 1
_cell_length_a 7.1097
_cell_length_b 4.0621
_cell_length_c 8.1495
_cell_angle_alpha 90.00
_cell_angle_beta 107.19
_cell_angle_gamma 90.00
loop_
_space_group_symop_operation_xyz
'x,y,z'
loop_
_atom_site_label
_atom_site_fract_x
_atom_site_fract_y
_atom_site_fract_z
_atom_site_occupancy
Nd1 0.1995 0.0000 0.1775 1
Nd2 0.2302 0.5000 0.8179 1
Nd3 0.7698 0.5000 0.1821 1
Nd4 0.8005 0.0000 0.8225 1
Ge1 0.5000 0.0000 0.0000 1
I1 0.0000 0.0000 0.5000 1
I2 0.5000 0.5000 0.5000 1
N1 0.0000 0.5000 0.0000 1
# - uncorrected energy (eV for the cell shown) = -43.72
# - space-group type = P2/m

(2)
# PBE BaLiTl2Cd, optimized geometry
data_BaLiTl2Cd
_space_group_name_H-M_alt 'P 1'
_space_group_IT_number 1
_cell_length_a 7.1048
_cell_length_b 7.1048
_cell_length_c 7.1048
_cell_angle_alpha 139.09
_cell_angle_beta 139.09
_cell_angle_gamma 59.24
loop_
_space_group_symop_operation_xyz
'x,y,z'
loop_
_atom_site_label
_atom_site_fract_x
_atom_site_fract_y
_atom_site_fract_z
_atom_site_occupancy
Ba1 0.0000 0.0000 0.0000 1
Li1 0.7500 0.2500 0.5000 1
Tl1 0.3766 0.3766 0.0000 1
Tl2 0.6234 0.6234 0.0000 1
Cd1 0.2500 0.7500 0.5000 1
# - E above lowest polymorph (meV/atom) = 0
# - energy of formation from the pure elements (eV/atom) = -0.27
# - space-group type = I-4m2

(3)
# PBE Be4AgRu, optimized geometry
data_Be4AgRu
_space_group_name_H-M_alt 'P 1'
_space_group_IT_number 1
_cell_length_a 4.4393
_cell_length_b 4.4393
_cell_length_c 4.4393
_cell_angle_alpha 60.00
_cell_angle_beta 60.00
_cell_angle_gamma 60.00
loop_
_space_group_symop_operation_xyz
'x,y,z'
loop_
_atom_site_label
_atom_site_fract_x
_atom_site_fract_y
_atom_site_fract_z
_atom_site_occupancy
Be1 0.1236 0.1236 0.1236 1
Be2 0.1236 0.1236 0.6291 1
Be3 0.1236 0.6291 0.1236 1
Be4 0.6291 0.1236 0.1236 1
Ag1 0.5000 0.5000 0.5000 1
Ru1 0.7500 0.7500 0.7500 1
# - energy of formation from the pure elements (eV/atom) = -0.05
# - space-group type = F-43m

(4)
# PBE LaTi2Zn2, optimized geometry
data_LaTi2Zn2
_space_group_name_H-M_alt 'P 1'
_space_group_IT_number 1
_cell_length_a 8.0896
_cell_length_b 8.0896
_cell_length_c 2.9123
_cell_angle_alpha 90.00
_cell_angle_beta 90.00
_cell_angle_gamma 90.00
loop_
_space_group_symop_operation_xyz
'x,y,z'
loop_
_atom_site_label
_atom_site_fract_x
_atom_site_fract_y
_atom_site_fract_z
_atom_site_occupancy
La1 0.0000 0.0000 0.0000 1
La2 0.5000 0.5000 0.0000 1
Ti1 0.1190 0.3810 0.0000 1
Ti2 0.3810 0.8810 0.0000 1
Ti3 0.6190 0.1190 0.0000 1
Ti4 0.8810 0.6190 0.0000 1
Zn1 0.1730 0.6730 0.5000 1
Zn2 0.3270 0.1730 0.5000 1
Zn3 0.6730 0.8270 0.5000 1
Zn4 0.8270 0.3270 0.5000 1
# - E above lowest polymorph (meV/atom) = 0
# - energy of formation from the pure elements (eV/atom) = -0.04
# - space-group type = P4/mbm

(5)
# PBE Y4NiTe2Se, optimized geometry
data_Y4NiTe2Se
_space_group_name_H-M_alt 'P 1'
_space_group_IT_number 1
_cell_length_a 7.3658
_cell_length_b 4.0854
_cell_length_c 7.4603
_cell_angle_alpha 90.00
_cell_angle_beta 108.33
_cell_angle_gamma 90.00
loop_
_space_group_symop_operation_xyz
'x,y,z'
loop_
_atom_site_label
_atom_site_fract_x
_atom_site_fract_y
_atom_site_fract_z
_atom_site_occupancy
Y1 0.2170 0.0000 0.2062 1
Y2 0.2478 0.5000 0.7794 1
Y3 0.7522 0.5000 0.2206 1
Y4 0.7830 0.0000 0.7938 1
Ni1 0.0000 0.5000 0.0000 1
Te1 0.0000 0.0000 0.5000 1
Te2 0.5000 0.5000 0.5000 1
Se1 0.5000 0.0000 0.0000 1
# - uncorrected energy (eV for the cell shown) = -51.07
# - space-group type = P2/m

(6)
# PBE In2Bi2PtSe2, optimized geometry
data_In2Bi2PtSe2
_space_group_name_H-M_alt 'P 1'
_space_group_IT_number 1
_cell_length_a 3.9767
_cell_length_b 6.4119
_cell_length_c 8.1812
_cell_angle_alpha 107.60
_cell_angle_beta 103.98
_cell_angle_gamma 90.06
loop_
_space_group_symop_operation_xyz
'x,y,z'
loop_
_atom_site_label
_atom_site_fract_x
_atom_site_fract_y
_atom_site_fract_z
_atom_site_occupancy
In1 0.1637 0.2811 0.3278 1
In2 0.8363 0.7189 0.6722 1
Bi1 0.4473 0.2436 0.8932 1
Bi2 0.5527 0.7564 0.1068 1
Pt1 0.0000 0.0000 0.0000 1
Se1 0.2192 0.7308 0.4373 1
Se2 0.7808 0.2692 0.5627 1
# - uncorrected energy (eV for the cell shown) = -28.69
# - space-group type = P-1

(7)
# PBE NaAc4Ga3O12, optimized geometry
data_NaAc4Ga3O12
_space_group_name_H-M_alt 'P 1'
_space_group_IT_number 1
_cell_length_a 6.9730
_cell_length_b 6.9730
_cell_length_c 6.9730
_cell_angle_alpha 109.47
_cell_angle_beta 109.47
_cell_angle_gamma 109.47
loop_
_space_group_symop_operation_xyz
'x,y,z'
loop_
_atom_site_label
_atom_site_fract_x
_atom_site_fract_y
_atom_site_fract_z
_atom_site_occupancy
Na1 0.0000 0.0000 0.0000 1
Ac1 0.0000 0.0000 0.5000 1
Ac2 0.0000 0.5000 0.0000 1
Ac3 0.5000 0.0000 0.0000 1
Ac4 0.5000 0.5000 0.5000 1
Ga1 0.0000 0.5000 0.5000 1
Ga2 0.5000 0.0000 0.5000 1
Ga3 0.5000 0.5000 0.0000 1
O1 0.0000 0.2658 0.2658 1
O2 0.0000 0.7342 0.7342 1
O3 0.2500 0.5000 0.7500 1
O4 0.2500 0.7500 0.5000 1
O5 0.2658 0.0000 0.2658 1
O6 0.2658 0.2658 0.0000 1
O7 0.5000 0.2500 0.7500 1
O8 0.5000 0.7500 0.2500 1
O9 0.7342 0.0000 0.7342 1
O10 0.7342 0.7342 0.0000 1
O11 0.7500 0.2500 0.5000 1
O12 0.7500 0.5000 0.2500 1
# - uncorrected energy (eV for the cell shown) = -134.52
# - space-group type = Im-3m

(8)
# PBE NaBe2AgF8, optimized geometry
data_NaBe2AgF8
_space_group_name_H-M_alt 'P 1'
_space_group_IT_number 1
_cell_length_a 7.8156
_cell_length_b 7.8156
_cell_length_c 7.8156
_cell_angle_alpha 36.15
_cell_angle_beta 36.15
_cell_angle_gamma 36.15
loop_
_space_group_symop_operation_xyz
'x,y,z'
loop_
_atom_site_label
_atom_site_fract_x
_atom_site_fract_y
_atom_site_fract_z
_atom_site_occupancy
Na1 0.0000 0.0000 0.0000 1
Be1 0.2505 0.2505 0.2505 1
Be2 0.7495 0.7495 0.7495 1
Ag1 0.5000 0.5000 0.5000 1
F1 0.0794 0.4647 0.7779 1
F2 0.2221 0.9206 0.5353 1
F3 0.3189 0.3189 0.3189 1
F4 0.4647 0.7779 0.0794 1
F5 0.5353 0.2221 0.9206 1
F6 0.6811 0.6811 0.6811 1
F7 0.7779 0.0794 0.4647 1
F8 0.9206 0.5353 0.2221 1
# - uncorrected energy (eV for the cell shown) = -54.85
# - space-group type = R-3

What did the fifth record say?
# PBE Y4NiTe2Se, optimized geometry
data_Y4NiTe2Se
_space_group_name_H-M_alt 'P 1'
_space_group_IT_number 1
_cell_length_a 7.3658
_cell_length_b 4.0854
_cell_length_c 7.4603
_cell_angle_alpha 90.00
_cell_angle_beta 108.33
_cell_angle_gamma 90.00
loop_
_space_group_symop_operation_xyz
'x,y,z'
loop_
_atom_site_label
_atom_site_fract_x
_atom_site_fract_y
_atom_site_fract_z
_atom_site_occupancy
Y1 0.2170 0.0000 0.2062 1
Y2 0.2478 0.5000 0.7794 1
Y3 0.7522 0.5000 0.2206 1
Y4 0.7830 0.0000 0.7938 1
Ni1 0.0000 0.5000 0.0000 1
Te1 0.0000 0.0000 0.5000 1
Te2 0.5000 0.5000 0.5000 1
Se1 0.5000 0.0000 0.0000 1
# - uncorrected energy (eV for the cell shown) = -51.07
# - space-group type = P2/m